[1]
Compound: Co2OsCl
Source: Alexandria
Functional: GGA-PBE
Structure: relaxed

Unit cell a=7.950 b=2.678 c=7.282 alpha=90.00 beta=122.96 gamma=90.00
Atoms (fractional coordinates):
Co 0.143 0.000 0.325
Co 0.357 0.500 0.675
Co 0.643 0.500 0.325
Co 0.857 0.000 0.675
Os 0.000 0.500 0.500
Os 0.500 0.000 0.500
Cl 0.000 0.500 0.000
Cl 0.500 0.000 0.000

The distance to the lowest polymorph of the same formula is 0.261 eV/atom. For the calculated volume, the calculation gives 16.26 Å³/atom.

=====

[2]
Compound: Co2OsCl
Source: Alexandria
Functional: GGA-PBE
Structure: relaxed

Unit cell a=7.949 b=2.762 c=6.268 alpha=90.00 beta=94.21 gamma=90.00
Atoms (fractional coordinates):
Co 0.000 0.000 0.000
Co 0.225 0.500 0.170
Co 0.500 0.500 0.000
Co 0.725 0.000 0.170
Os 0.268 0.000 0.854
Os 0.768 0.500 0.854
Cl 0.214 0.500 0.524
Cl 0.714 0.000 0.524

The distance to the lowest polymorph of the same formula is 0.254 eV/atom. For the calculated volume, the calculation gives 17.16 Å³/atom.

=====

[3]
Compound: Co2OsCl
Source: Alexandria
Functional: GGA-PBE
Structure: relaxed

Unit cell a=2.947 b=2.947 c=6.420 alpha=90.00 beta=90.00 gamma=90.00
Atoms (fractional coordinates):
Co 0.000 0.000 0.000
Co 0.500 0.500 0.216
Os 0.000 0.000 0.405
Cl 0.500 0.500 0.757

The distance to the lowest polymorph of the same formula is 0.324 eV/atom. For the calculated volume, the calculation gives 13.94 Å³/atom.

=====

[4]
Compound: CoOsCl
Source: Alexandria
Functional: GGA-PBE
Structure: relaxed

Unit cell a=2.862 b=2.862 c=5.881 alpha=90.00 beta=90.00 gamma=120.00
Atoms (fractional coordinates):
Co 0.000 0.000 0.000
Os 0.333 0.667 0.307
Cl 0.667 0.333 0.698

The distance to the lowest polymorph of the same formula is 0.000 eV/atom. For the calculated volume, the calculation gives 13.91 Å³/atom.

=====

[5]
Compound: Co2OsCl
Source: Alexandria
Functional: GGA-PBE
Structure: relaxed

Unit cell a=2.792 b=2.792 c=23.395 alpha=90.00 beta=90.00 gamma=120.00
Atoms (fractional coordinates):
Co 0.000 0.000 0.248
Co 0.000 0.000 0.752
Co 0.333 0.667 0.419
Co 0.333 0.667 0.914
Co 0.667 0.333 0.086
Co 0.667 0.333 0.581
Os 0.000 0.000 0.000
Os 0.333 0.667 0.667
Os 0.667 0.333 0.333
Cl 0.000 0.000 0.500
Cl 0.333 0.667 0.167
Cl 0.667 0.333 0.833

The distance to the lowest polymorph of the same formula is 0.046 eV/atom. For the calculated volume, the calculation gives 13.16 Å³/atom.

=====

[6]
Compound: Co2OsCl
Source: Alexandria
Functional: GGA-PBE
Structure: relaxed

Unit cell a=2.752 b=2.752 c=6.940 alpha=90.00 beta=90.00 gamma=90.00
Atoms (fractional coordinates):
Co 0.000 0.000 0.240
Co 0.000 0.000 0.760
Os 0.500 0.500 0.000
Cl 0.500 0.500 0.500

The distance to the lowest polymorph of the same formula is 0.118 eV/atom. For the calculated volume, the calculation gives 13.14 Å³/atom.

=====

[7]
Compound: Co2OsCl
Source: Alexandria
Functional: GGA-PBE
Structure: relaxed

Unit cell a=2.774 b=4.357 c=4.374 alpha=90.00 beta=90.00 gamma=90.00
Atoms (fractional coordinates):
Co 0.000 0.000 0.000
Co 0.500 0.500 0.000
Os 0.000 0.500 0.500
Cl 0.500 0.000 0.500

The distance to the lowest polymorph of the same formula is 0.603 eV/atom. For the calculated volume, the calculation gives 13.22 Å³/atom.

=====

[8]
Compound: Co2OsCl
Source: Alexandria
Functional: GGA-PBE
Structure: relaxed

Unit cell a=5.186 b=7.641 c=2.706 alpha=90.00 beta=90.00 gamma=90.00
Atoms (fractional coordinates):
Co 0.250 0.250 0.000
Co 0.250 0.750 0.000
Co 0.750 0.250 0.000
Co 0.750 0.750 0.000
Os 0.000 0.000 0.500
Os 0.500 0.500 0.500
Cl 0.000 0.500 0.500
Cl 0.500 0.000 0.500

The distance to the lowest polymorph of the same formula is 0.508 eV/atom. For the calculated volume, the calculation gives 13.40 Å³/atom.

=====

[9]
Compound: Co2OsCl
Source: Alexandria
Functional: GGA-PBE
Structure: relaxed

Unit cell a=2.755 b=4.404 c=8.504 alpha=90.00 beta=90.00 gamma=90.00
Atoms (fractional coordinates):
Co 0.000 0.000 0.236
Co 0.000 0.000 0.764
Co 0.500 0.500 0.264
Co 0.500 0.500 0.736
Os 0.000 0.500 0.000
Os 0.500 0.000 0.500
Cl 0.000 0.500 0.500
Cl 0.500 0.000 0.000

The distance to the lowest polymorph of the same formula is 0.540 eV/atom. For the calculated volume, the calculation gives 12.90 Å³/atom.

=====

[10]
Compound: Co2OsCl
Source: Alexandria
Functional: GGA-PBE
Structure: relaxed

Unit cell a=2.791 b=4.862 c=8.109 alpha=90.00 beta=90.00 gamma=90.00
Atoms (fractional coordinates):
Co 0.000 0.000 0.244
Co 0.000 0.000 0.756
Co 0.500 0.500 0.244
Co 0.500 0.500 0.756
Os 0.000 0.500 0.500
Os 0.500 0.000 0.500
Cl 0.000 0.500 0.000
Cl 0.500 0.000 0.000

The distance to the lowest polymorph of the same formula is 0.243 eV/atom. For the calculated volume, the calculation gives 13.76 Å³/atom.

=====

[11]
Compound: Co2OsCl
Source: Alexandria
Functional: GGA-PBE
Structure: relaxed

Unit cell a=5.995 b=5.995 c=5.995 alpha=90.00 beta=90.00 gamma=90.00
Atoms (fractional coordinates):
Co 0.250 0.250 0.250
Co 0.250 0.250 0.750
Co 0.250 0.750 0.250
Co 0.250 0.750 0.750
Co 0.750 0.250 0.250
Co 0.750 0.250 0.750
Co 0.750 0.750 0.250
Co 0.750 0.750 0.750
Os 0.000 0.000 0.000
Os 0.000 0.500 0.500
Os 0.500 0.000 0.500
Os 0.500 0.500 0.000
Cl 0.000 0.000 0.500
Cl 0.000 0.500 0.000
Cl 0.500 0.000 0.000
Cl 0.500 0.500 0.500

The distance to the lowest polymorph of the same formula is 0.826 eV/atom. For the calculated volume, the calculation gives 13.46 Å³/atom.

=====

[12]
Compound: CoOsCl3
Source: Alexandria
Functional: GGA-PBE
Structure: relaxed

Unit cell a=4.622 b=4.622 c=4.622 alpha=90.00 beta=90.00 gamma=90.00
Atoms (fractional coordinates):
Co 0.000 0.000 0.000
Os 0.500 0.500 0.500
Cl 0.000 0.000 0.500
Cl 0.000 0.500 0.000
Cl 0.500 0.000 0.000

The distance to the lowest polymorph of the same formula is 0.091 eV/atom. For the calculated volume, the calculation gives 19.74 Å³/atom.